(1)
YCu2W: single point on PBEsol structure, meta-GGA SCAN.

Unit cell a=4.5063 b=4.5063 c=4.5063 alpha=60.00 beta=60.00 gamma=60.00
Fractional positions:
Y1 0.0000 0.0000 0.0000
Cu1 0.2500 0.2500 0.2500
Cu2 0.7500 0.7500 0.7500
W1 0.5000 0.5000 0.5000

Output
- ρ (g/cm3) = 10.26
- space-group type = Fm-3m (225)
- N(E_F) (states/eV/atom) = 0.691
- formation energy from the elements (kJ/mol of formula units) = 170



(2)
Mn3InP: single point on PBEsol structure, meta-GGA SCAN.

Unit cell a=4.8718 b=4.8718 c=4.8718 alpha=90.00 beta=90.00 gamma=90.00
Fractional positions:
Mn1 0.0000 0.0000 0.5000
Mn2 0.0000 0.5000 0.0000
Mn3 0.5000 0.0000 0.0000
In1 0.0000 0.0000 0.0000
P1 0.5000 0.5000 0.5000

Output
- ρ (g/cm3) = 4.46
- space-group type = Pm-3m (221)
- N(E_F) (states/eV/atom) = 0.348
- formation energy from the elements (kJ/mol of formula units) = 458



(3)
NaLaW3: single point on PBEsol structure, meta-GGA SCAN.

Unit cell a=4.7085 b=4.7085 c=4.7085 alpha=90.00 beta=90.00 gamma=90.00
Fractional positions:
Na1 0.0000 0.0000 0.0000
La1 0.5000 0.5000 0.5000
W1 0.0000 0.0000 0.5000
W2 0.0000 0.5000 0.0000
W3 0.5000 0.0000 0.0000

Output
- ρ (g/cm3) = 11.35
- space-group type = Pm-3m (221)
- N(E_F) (states/eV/atom) = 1.239
- formation energy from the elements (kJ/mol of formula units) = 1371



(4)
Cd3TcCl: single point on PBEsol structure, meta-GGA SCAN.

Unit cell a=5.2661 b=5.2661 c=5.2661 alpha=90.00 beta=90.00 gamma=90.00
Fractional positions:
Cd1 0.0000 0.0000 0.5000
Cd2 0.0000 0.5000 0.0000
Cd3 0.5000 0.0000 0.0000
Tc1 0.0000 0.0000 0.0000
Cl1 0.5000 0.5000 0.5000

Output
- ρ (g/cm3) = 5.35
- space-group type = Pm-3m (221)
- ΔE_f (raw) (eV per atom) = 0.585
- N(E_F) (states/eV/atom) = 0.405



(5)
NpPt3: single point on PBEsol structure, meta-GGA SCAN.

Unit cell a=5.7088 b=5.7088 c=4.8432 alpha=90.00 beta=90.00 gamma=120.00
Fractional positions:
Np1 0.3333 0.6667 0.2500
Np2 0.6667 0.3333 0.7500
Pt1 0.1633 0.3267 0.7500
Pt2 0.1633 0.8367 0.7500
Pt3 0.3267 0.1633 0.2500
Pt4 0.6733 0.8367 0.7500
Pt5 0.8367 0.1633 0.2500
Pt6 0.8367 0.6733 0.2500

Output
- ρ (g/cm3) = 19.98
- space-group type = P6_3/mmc (194)
- N(E_F) (states/eV/atom) = 3.105
- formation energy from the elements (kJ/mol of formula units) = -207



(6)
Tl2CrRu: single point on PBEsol structure, meta-GGA SCAN.

Unit cell a=3.3181 b=3.3181 c=6.4931 alpha=90.00 beta=90.00 gamma=90.00
Fractional positions:
Tl1 0.0000 0.0000 0.2419
Tl2 0.0000 0.0000 0.7581
Cr1 0.5000 0.5000 0.5000
Ru1 0.5000 0.5000 0.0000

Output
- ρ (g/cm3) = 13.05
- space-group type = P4/mmm (123)
- N(E_F) (states/eV/atom) = 0.449
- formation energy from the elements (kJ/mol of formula units) = 195



(7)
Sm5Si2B8: single point on PBEsol structure, meta-GGA SCAN.

Unit cell a=7.2884 b=7.2884 c=8.2603 alpha=90.00 beta=90.00 gamma=90.00
Fractional positions:
Sm1 0.0000 0.0000 0.0000
Sm2 0.1808 0.3192 0.2764
Sm3 0.1808 0.3192 0.7236
Sm4 0.3192 0.8192 0.2764
Sm5 0.3192 0.8192 0.7236
Sm6 0.5000 0.5000 0.0000
Sm7 0.6808 0.1808 0.2764
Sm8 0.6808 0.1808 0.7236
Sm9 0.8192 0.6808 0.2764
Sm10 0.8192 0.6808 0.7236
Si1 0.1133 0.6133 0.0000
Si2 0.3867 0.1133 0.0000
Si3 0.6133 0.8867 0.0000
Si4 0.8867 0.3867 0.0000
B1 0.0000 0.0000 0.3430
B2 0.0000 0.0000 0.6570
B3 0.0394 0.8280 0.5000
B4 0.0907 0.5907 0.5000
B5 0.1720 0.0394 0.5000
B6 0.3280 0.5394 0.5000
B7 0.4093 0.0907 0.5000
B8 0.4606 0.3280 0.5000
B9 0.5000 0.5000 0.3430
B10 0.5000 0.5000 0.6570
B11 0.5394 0.6720 0.5000
B12 0.5907 0.9093 0.5000
B13 0.6720 0.4606 0.5000
B14 0.8280 0.9606 0.5000
B15 0.9093 0.4093 0.5000
B16 0.9606 0.1720 0.5000

Output
- ρ (g/cm3) = 6.77
- space-group type = P4/mbm (127)
- ΔE_f (raw) (eV per atom) = -0.668
- N(E_F) (states/eV/atom) = 0.363



(8)
YPd2Cl: single point on PBEsol structure, meta-GGA SCAN.

Unit cell a=4.7221 b=4.7221 c=4.7221 alpha=60.00 beta=60.00 gamma=60.00
Fractional positions:
Y1 0.0000 0.0000 0.0000
Pd1 0.2500 0.2500 0.2500
Pd2 0.7500 0.7500 0.7500
Cl1 0.5000 0.5000 0.5000

Output
- ρ (g/cm3) = 7.52
- space-group type = Fm-3m (225)
- ΔE_f (raw) (eV per atom) = -0.429
- N(E_F) (states/eV/atom) = 0.845



(9)
FeCoIr2: single point on PBEsol structure, meta-GGA SCAN.

Unit cell a=2.6378 b=3.5589 c=5.2804 alpha=90.00 beta=90.00 gamma=90.00
Fractional positions:
Fe1 0.0000 0.0000 0.0000
Co1 0.0000 0.0000 0.5000
Ir1 0.5000 0.5000 0.2514
Ir2 0.5000 0.5000 0.7486

Output
- ρ (g/cm3) = 16.72
- space-group type = Pmmm (47)
- N(E_F) (states/eV/atom) = 0.915
- formation energy from the elements (kJ/mol of formula units) = -31



(10)
SmSb2: single point on PBEsol structure, meta-GGA SCAN.

Unit cell a=4.3189 b=4.3189 c=17.7140 alpha=90.00 beta=90.00 gamma=88.79
Fractional positions:
Sm1 0.1411 0.8589 0.8897
Sm2 0.3589 0.6411 0.3897
Sm3 0.6411 0.3589 0.6103
Sm4 0.8589 0.1411 0.1103
Sb1 0.1264 0.3736 0.7500
Sb2 0.1392 0.8608 0.5648
Sb3 0.3608 0.6392 0.0648
Sb4 0.3736 0.1264 0.2500
Sb5 0.6264 0.8736 0.7500
Sb6 0.6392 0.3608 0.9352
Sb7 0.8608 0.1392 0.4352
Sb8 0.8736 0.6264 0.2500

Output
- ρ (g/cm3) = 7.92
- space-group type = Cmce (64)
- ΔE_f (raw) (eV per atom) = -0.875
- N(E_F) (states/eV/atom) = 0.288



(11)
KRhSe2: single point on PBEsol structure, meta-GGA SCAN.

Unit cell a=5.6484 b=5.6484 c=5.6484 alpha=143.01 beta=113.96 gamma=78.18
Fractional positions:
K1 0.0000 0.0000 0.0000
Rh1 0.5000 0.5000 0.0000
Se1 0.3184 0.8184 0.5000
Se2 0.6816 0.1816 0.5000

Output
- ρ (g/cm3) = 5.15
- space-group type = Immm (71)
- ΔE_f (raw) (eV per atom) = -0.556
- N(E_F) (states/eV/atom) = 0.489



(12)
HfAgP2S: single point on PBEsol structure, meta-GGA SCAN.

Unit cell a=4.6165 b=4.6165 c=4.6456 alpha=90.00 beta=90.00 gamma=90.00
Fractional positions:
Hf1 0.0000 0.0000 0.0000
Ag1 0.5000 0.5000 0.5000
P1 0.0000 0.5000 0.5000
P2 0.5000 0.0000 0.5000
S1 0.5000 0.5000 0.0000

Output
- ρ (g/cm3) = 6.38
- space-group type = P4/mmm (123)
- ΔE_f (raw) (eV per atom) = 0.842
- N(E_F) (states/eV/atom) = 0.577



(13)
LiReSb2: single point on PBEsol structure, meta-GGA SCAN.

Unit cell a=4.6440 b=4.6440 c=4.6440 alpha=60.00 beta=60.00 gamma=60.00
Fractional positions:
Li1 0.0000 0.0000 0.0000
Re1 0.5000 0.5000 0.5000
Sb1 0.2500 0.2500 0.2500
Sb2 0.7500 0.7500 0.7500

Output
- ρ (g/cm3) = 10.24
- space-group type = Fm-3m (225)
- ΔE_f (raw) (eV per atom) = 0.122
- N(E_F) (states/eV/atom) = 0.460



(14)
Ca2TlCrMo: single point on PBEsol structure, meta-GGA SCAN.

Unit cell a=5.6406 b=5.6406 c=4.3105 alpha=90.00 beta=90.00 gamma=90.00
Fractional positions:
Ca1 0.0000 0.5000 0.0000
Ca2 0.5000 0.0000 0.0000
Tl1 0.0000 0.0000 0.5000
Cr1 0.5000 0.5000 0.0000
Mo1 0.5000 0.5000 0.5000

Output
- ρ (g/cm3) = 5.24
- space-group type = P4/mmm (123)
- N(E_F) (states/eV/atom) = 0.716
- formation energy from the elements (kJ/mol of formula units) = 296